Record 1
VASP calculation (PBE-GGA) on a relaxed Cu2NiAg crystal.

abc: 2.8512 4.3110 8.5875
angles: 90.00 90.00 90.00
Last column: nearest neighbours and their distance in Å.
Positions (direct):
Cu  0.0000  0.0000  0.0000  2 Ni 2.48, 2 Cu 2.50, 4 Ag 2.58
Cu  0.0000  0.5000  0.2605  2 Cu 2.50, 4 Ni 2.59, 2 Ag 2.66
Cu  0.5000  0.0000  0.7605  2 Cu 2.50, 4 Ni 2.59, 2 Ag 2.66
Cu  0.5000  0.5000  0.5000  2 Ni 2.48, 2 Cu 2.50, 4 Ag 2.58
Ni  0.0000  0.5000  0.7362  6 Cu 2.48-2.59, 2 Ag 2.67
Ni  0.5000  0.0000  0.2362  6 Cu 2.48-2.59, 2 Ag 2.67
Ag  0.0000  0.0000  0.4984  6 Cu 2.58-2.66, 2 Ni 2.67, 2 Ag 2.85
Ag  0.5000  0.5000  0.9984  6 Cu 2.58-2.66, 2 Ni 2.67, 2 Ag 2.85

Formation energy from the elements   161.7 meV per atom
Total magnetic moment   0.0 μB per formula unit
Calculated density   9239 kg/m3
SG   Imm2 (44)

Record 2
VASP calculation (PBE-GGA) on a relaxed Hf5ZrIn3 crystal.

abc: 8.6953 8.6953 6.0248
angles: 90.00 90.00 120.00
Last column: nearest neighbours and their distance in Å.
Positions (direct):
Hf  0.0000  0.3350  0.2500  5 In 2.89-3.01
Hf  0.0000  0.6650  0.7500  5 In 2.89-3.01
Hf  0.3333  0.6667  0.0000  8 Hf 3.01-3.26, 6 In 3.27
Hf  0.3333  0.6667  0.5000  8 Hf 3.01-3.26, 6 In 3.27
Hf  0.3350  0.0000  0.2500  5 In 2.89-3.01
Hf  0.3350  0.3350  0.7500  5 In 2.89-3.01
Hf  0.6650  0.0000  0.7500  5 In 2.89-3.01
Hf  0.6650  0.6650  0.2500  5 In 2.89-3.01
Hf  0.6667  0.3333  0.0000  8 Hf 3.01-3.26, 6 In 3.27
Hf  0.6667  0.3333  0.5000  8 Hf 3.01-3.26, 6 In 3.27
Zr  0.0000  0.0000  0.0000  2 Zr 3.01, 6 In 3.26, 6 Hf 3.28
Zr  0.0000  0.0000  0.5000  2 Zr 3.01, 6 In 3.26, 6 Hf 3.28
In  0.0000  0.3322  0.7500  5 Hf 2.89-3.01
In  0.0000  0.6678  0.2500  5 Hf 2.89-3.01
In  0.3322  0.0000  0.7500  5 Hf 2.89-3.01
In  0.3322  0.3322  0.2500  5 Hf 2.89-3.01
In  0.6678  0.0000  0.2500  5 Hf 2.89-3.01
In  0.6678  0.6678  0.7500  5 Hf 2.89-3.01

Formation energy from the elements   -124.8 meV per atom
Total magnetic moment   0.0 μB per formula unit
Calculated density   11181 kg/m3
SG   P6_3/mcm (193)

Record 3
VASP calculation (PBE-GGA) on a relaxed PuZr2Al crystal.

abc: 3.2353 3.2353 29.4684
angles: 90.00 90.00 120.00
Last column: nearest neighbours and their distance in Å.
Positions (direct):
Pu  0.0000  0.0000  0.0000  6 Zr 3.18, 6 Pu 3.24
Pu  0.3333  0.6667  0.6667  6 Zr 3.18, 6 Pu 3.24
Pu  0.6667  0.3333  0.3333  6 Zr 3.18, 6 Pu 3.24
Zr  0.0000  0.0000  0.2460  3 Al 2.99, 3 Pu 3.18, 6 Zr 3.24
Zr  0.0000  0.0000  0.7540  3 Al 2.99, 3 Pu 3.18, 6 Zr 3.24
Zr  0.3333  0.6667  0.4206  3 Al 2.99, 3 Pu 3.18, 6 Zr 3.24
Zr  0.3333  0.6667  0.9127  3 Al 2.99, 3 Pu 3.18, 6 Zr 3.24
Zr  0.6667  0.3333  0.0873  3 Al 2.99, 3 Pu 3.18, 6 Zr 3.24
Zr  0.6667  0.3333  0.5794  3 Al 2.99, 3 Pu 3.18, 6 Zr 3.24
Al  0.0000  0.0000  0.5000  6 Zr 2.99, 6 Al 3.24
Al  0.3333  0.6667  0.1667  6 Zr 2.99, 6 Al 3.24
Al  0.6667  0.3333  0.8333  6 Zr 2.99, 6 Al 3.24

Formation energy from the elements   -10.4 meV per atom
Total magnetic moment   5.4 μB per formula unit
Calculated density   8456 kg/m3
SG   R-3m (166)